A geometry-optimized AcTbHoSn structure, computed with GGA-PBE.

Computed properties:
- Raw total energy: -4.4569 eV per atom
- Density: 9.21 g/cm3
- Magnetization: 0.03 μB per formula unit
- E_form: -0.127 eV per atom

Cell lengths 7.847, 7.847, 7.847 Å; angles 90.00, 90.00, 90.00 degrees
Space group F-43m (No. 216)
Asymmetric unit:
Ac (0.000, 0.000, 0.000) [4 per cell]
Tb (0.250, 0.250, 0.250) [4 per cell]
Ho (0.250, 0.250, 0.750) [4 per cell]
Sn (0.000, 0.000, 0.500) [4 per cell]